[1]
First-principles (PBE-GGA) data for Mn2SeN after structural relaxation, as listed in Alexandria.

## Properties
Space-group type: No. 225
Polymorph energy (0 for the lowest one), meV/atom: 853.2
DOS(E_F), states/eV per atom: 0.9888

a b c (Å): 5.544 5.544 5.544
angles (deg): 90.00 90.00 90.00
Fractional coordinates of all 16 atoms:
1 Mn 0.250 0.250 0.250
2 Mn 0.250 0.250 0.750
3 Mn 0.250 0.750 0.250
4 Mn 0.250 0.750 0.750
5 Mn 0.750 0.250 0.250
6 Mn 0.750 0.250 0.750
7 Mn 0.750 0.750 0.250
8 Mn 0.750 0.750 0.750
9 Se 0.000 0.000 0.000
10 Se 0.000 0.500 0.500
11 Se 0.500 0.000 0.500
12 Se 0.500 0.500 0.000
13 N 0.000 0.000 0.500
14 N 0.000 0.500 0.000
15 N 0.500 0.000 0.000
16 N 0.500 0.500 0.500

[2]
First-principles (PBE-GGA) data for Nd5In2Pb after structural relaxation, as listed in Alexandria.

## Properties
Space-group type: No. 140
Formation energy from the elements, meV/atom: -416.7
DOS(E_F), states/eV per atom: 0.8894

a b c (Å): 9.090 9.090 9.090
angles (deg): 122.68 122.68 85.41
Fractional coordinates of all 16 atoms:
1 Nd 0.000 0.000 0.000
2 Nd 0.011 0.511 0.823
3 Nd 0.188 0.011 0.500
4 Nd 0.312 0.812 0.823
5 Nd 0.489 0.312 0.500
6 Nd 0.500 0.500 0.000
7 Nd 0.511 0.688 0.500
8 Nd 0.688 0.188 0.177
9 Nd 0.812 0.989 0.500
10 Nd 0.989 0.489 0.177
11 In 0.136 0.364 0.500
12 In 0.364 0.864 0.229
13 In 0.636 0.136 0.771
14 In 0.864 0.636 0.500
15 Pb 0.250 0.250 0.000
16 Pb 0.750 0.750 0.000

[3]
First-principles (PBE-GGA) data for LiCr2SnB after structural relaxation, as listed in Alexandria.

## Properties
Space-group type: No. 123
Formation energy from the elements, meV/atom: 105.6
DOS(E_F), states/eV per atom: 0.4424

a b c (Å): 4.096 4.096 4.114
angles (deg): 90.00 90.00 90.00
Fractional coordinates of all 5 atoms:
1 Li 0.000 0.000 0.000
2 Cr 0.000 0.500 0.500
3 Cr 0.500 0.000 0.500
4 Sn 0.500 0.500 0.000
5 B 0.000 0.000 0.500